Below is Tm2ZnS4 at its PBEsol-relaxed geometry, with properties calculated at the meta-GGA SCAN level.

a b c (Å): 6.202 7.689 13.193
angles (deg): 90.00 90.00 90.00
Fractional positions:
Tm 0.496 0.250 0.765
Tm 0.996 0.750 0.735
Tm 0.504 0.750 0.235
Tm 0.004 0.250 0.265
Tm 0.500 0.500 0.500
Tm 0.000 0.500 0.000
Tm 0.500 0.000 0.500
Tm 0.000 0.000 0.000
Zn 0.908 0.250 0.592
Zn 0.408 0.750 0.908
Zn 0.092 0.750 0.408
Zn 0.592 0.250 0.092
S 0.758 0.489 0.169
S 0.258 0.511 0.331
S 0.242 0.989 0.831
S 0.742 0.011 0.669
S 0.242 0.511 0.831
S 0.742 0.489 0.669
S 0.758 0.011 0.169
S 0.258 0.989 0.331
S 0.745 0.250 0.928
S 0.245 0.750 0.572
S 0.255 0.750 0.072
S 0.755 0.250 0.428
S 0.226 0.250 0.090
S 0.726 0.750 0.410
S 0.774 0.750 0.910
S 0.274 0.250 0.590

Calculated values
E_form (uncorrected): -13.57 eV/f.u.
size of the total moment: 0.0 μB/cell


Below is ZrTlMo3 at its PBEsol-relaxed geometry, with properties calculated at the meta-GGA SCAN level.

a b c (Å): 4.879 4.879 4.879
angles (deg): 90.00 90.00 90.00
Fractional positions:
Tl 0.000 0.000 0.000
Mo 0.000 0.500 0.000
Mo 0.000 0.000 0.500
Mo 0.500 0.000 0.000
Zr 0.500 0.500 0.500

Calculated values
formation energy: 2.355 eV per atom
size of the total moment: 0.0 μB/cell


Below is Te2As at its PBEsol-relaxed geometry, with properties calculated at the meta-GGA SCAN level.

a b c (Å): 5.011 5.011 6.739
angles (deg): 90.00 90.00 120.00
Fractional positions:
As 0.667 0.333 0.750
As 0.333 0.667 0.250
Te 0.000 0.000 0.000
Te 0.000 0.000 0.500
Te 0.667 0.333 0.250
Te 0.333 0.667 0.750

Calculated values
E_form (uncorrected): 1.31 eV/f.u.
size of the total moment: 0.0 μB/cell
energy above the lowest structure with this stoichiometry: 383 meV per atom


Below is HoHO2 at its PBEsol-relaxed geometry, with properties calculated at the meta-GGA SCAN level.

a b c (Å): 3.458 3.458 9.131
angles (deg): 90.00 90.00 120.00
Fractional positions:
H 0.333 0.667 0.250
H 0.667 0.333 0.750
Ho 0.000 0.000 0.500
Ho 0.000 0.000 0.000
O 0.333 0.667 0.384
O 0.333 0.667 0.116
O 0.667 0.333 0.616
O 0.667 0.333 0.884

Calculated values
total energy: -0.699 Ha/atom
size of the total moment: 0.0 μB/cell


Below is CdP2W at its PBEsol-relaxed geometry, with properties calculated at the meta-GGA SCAN level.

a b c (Å): 3.667 3.667 5.337
angles (deg): 110.09 110.09 90.00
Fractional positions:
Cd 0.250 0.750 0.500
P 0.000 0.000 0.000
P 0.750 0.250 0.500
W 0.500 0.500 0.000

Calculated values
formation energy: 0.806 eV per atom
size of the total moment: 0.0 μB/cell
energy above the lowest structure with this stoichiometry: 797 meV per atom


Below is AlAsIr2 at its PBEsol-relaxed geometry, with properties calculated at the meta-GGA SCAN level.

a b c (Å): 2.916 2.916 8.247
angles (deg): 79.82 79.82 60.00
Fractional positions:
As 0.253 0.253 0.242
Ir 0.995 0.995 0.015
Ir 0.755 0.755 0.734
Al 0.497 0.497 0.508

Calculated values
formation energy: -0.064 eV per atom
size of the total moment: 0.0 μB/cell
energy above the lowest structure with this stoichiometry: 178 meV per atom


Below is SrAgB2 at its PBEsol-relaxed geometry, with properties calculated at the meta-GGA SCAN level.

a b c (Å): 4.415 4.415 4.415
angles (deg): 60.00 60.00 60.00
Fractional positions:
Sr 0.000 0.000 0.000
B 0.250 0.250 0.250
B 0.750 0.750 0.750
Ag 0.500 0.500 0.500

Calculated values
formation energy: 1.146 eV per atom
size of the total moment: 0.0 μB/cell


Below is BaCuBr2 at its PBEsol-relaxed geometry, with properties calculated at the meta-GGA SCAN level.

a b c (Å): 4.457 4.457 6.265
angles (deg): 110.83 110.83 90.00
Fractional positions:
Ba 0.250 0.750 0.500
Br 0.000 0.000 0.000
Br 0.750 0.250 0.500
Cu 0.500 0.500 0.000

Calculated values
E_form (uncorrected): -3.81 eV/f.u.
size of the total moment: 0.0 μB/cell
energy above the lowest structure with this stoichiometry: 76 meV per atom